Record 1
! ErMg4Ni (PBE, relaxed); values from VASP
&SYSTEM
  ibrav = 0, nat = 12, ntyp = 3
/
ATOMIC_SPECIES
Er 167.26 Er.upf
Mg 24.30 Mg.upf
Ni 58.69 Ni.upf
CELL_PARAMETERS angstrom
-2.664 3.429 7.174
2.664 -3.429 7.174
2.664 3.429 -7.174
ATOMIC_POSITIONS crystal
Er 0.208 0.208 0.000
Er 0.792 0.792 0.000
Mg 0.122 0.390 0.732
Mg 0.201 0.000 0.201
Mg 0.341 0.610 0.732
Mg 0.341 0.841 0.500
Mg 0.659 0.159 0.500
Mg 0.659 0.390 0.268
Mg 0.799 0.000 0.799
Mg 0.878 0.610 0.268
Ni 0.500 0.273 0.773
Ni 0.500 0.727 0.227
! calculated total energy: -33.9 eV/cell
! ΔE_f: -21 kJ/mol of formula units

Record 2
! Ac4La3Pr3 (PBE, relaxed); values from VASP
&SYSTEM
  ibrav = 0, nat = 10, ntyp = 3
/
ATOMIC_SPECIES
Ac 227.00 Ac.upf
La 138.91 La.upf
Pr 140.91 Pr.upf
CELL_PARAMETERS angstrom
4.077 0.000 0.000
0.000 7.121 7.090
0.000 -7.121 7.090
ATOMIC_POSITIONS crystal
Ac 0.000 0.000 0.000
Ac 0.000 0.268 0.268
Ac 0.000 0.499 0.768
Ac 0.000 0.768 0.499
La 0.000 0.131 0.634
La 0.000 0.634 0.131
La 0.500 0.469 0.469
Pr 0.500 0.298 0.969
Pr 0.500 0.798 0.798
Pr 0.500 0.969 0.298
! calculated total energy: -44.1 eV/cell
! ΔE_f: 145 kJ/mol of formula units

Record 3
! CdAg2Au (PBE, relaxed); values from VASP
&SYSTEM
  ibrav = 0, nat = 8, ntyp = 3
/
ATOMIC_SPECIES
Cd 112.41 Cd.upf
Ag 107.87 Ag.upf
Au 196.97 Au.upf
CELL_PARAMETERS angstrom
5.812 0.000 0.000
0.000 4.493 0.000
-1.128 0.000 5.744
ATOMIC_POSITIONS crystal
Cd 0.153 0.250 0.375
Cd 0.847 0.750 0.625
Ag 0.124 0.250 0.878
Ag 0.379 0.750 0.142
Ag 0.621 0.250 0.858
Ag 0.876 0.750 0.122
Au 0.348 0.750 0.647
Au 0.652 0.250 0.353
! calculated total energy: -20.4 eV/cell
! ΔE_f: -30 kJ/mol of formula units

Record 4
! ZnCu2SnS4 (PBE, relaxed); values from VASP
&SYSTEM
  ibrav = 0, nat = 8, ntyp = 4
/
ATOMIC_SPECIES
Zn 65.41 Zn.upf
Cu 63.55 Cu.upf
Sn 118.71 Sn.upf
S 32.06 S.upf
CELL_PARAMETERS angstrom
-2.734 2.734 5.462
2.734 -2.734 5.462
2.734 2.734 -5.462
ATOMIC_POSITIONS crystal
Zn 0.000 0.000 0.000
Cu 0.250 0.750 0.500
Cu 0.500 0.500 0.000
Sn 0.750 0.250 0.500
S 0.145 0.121 0.508
S 0.363 0.855 0.976
S 0.613 0.637 0.492
S 0.879 0.387 0.024
! calculated total energy: -33.7 eV/cell
! formation energy without anion corrections: -0.460 eV per atom
! polymorph energy (0 for the lowest one): 0.0000 eV per atom

Record 5
! Y2Ga2SnRh5 (PBE, relaxed); values from VASP
&SYSTEM
  ibrav = 0, nat = 20, ntyp = 4
/
ATOMIC_SPECIES
Y 88.91 Y.upf
Ga 69.72 Ga.upf
Sn 118.71 Sn.upf
Rh 102.91 Rh.upf
CELL_PARAMETERS angstrom
9.830 0.000 0.000
0.000 9.830 0.000
0.000 0.000 3.606
ATOMIC_POSITIONS crystal
Y 0.174 0.326 0.000
Y 0.326 0.826 0.000
Y 0.674 0.174 0.000
Y 0.826 0.674 0.000
Ga 0.123 0.623 0.000
Ga 0.377 0.123 0.000
Ga 0.623 0.877 0.000
Ga 0.877 0.377 0.000
Sn 0.000 0.000 0.000
Sn 0.500 0.500 0.000
Rh 0.000 0.500 0.500
Rh 0.069 0.793 0.500
Rh 0.207 0.069 0.500
Rh 0.293 0.569 0.500
Rh 0.431 0.293 0.500
Rh 0.500 0.000 0.500
Rh 0.569 0.707 0.500
Rh 0.707 0.431 0.500
Rh 0.793 0.931 0.500
Rh 0.931 0.207 0.500
! calculated total energy: -136.1 eV/cell
! ΔE_f: -801 kJ/mol of formula units

Record 6
! Sr2TlSb (PBE, relaxed); values from VASP
&SYSTEM
  ibrav = 0, nat = 8, ntyp = 3
/
ATOMIC_SPECIES
Sr 87.62 Sr.upf
Tl 204.38 Tl.upf
Sb 121.76 Sb.upf
CELL_PARAMETERS angstrom
-4.488 4.488 3.843
4.488 -4.488 3.843
4.488 4.488 -3.843
ATOMIC_POSITIONS crystal
Sr 0.109 0.125 0.484
Sr 0.375 0.891 0.016
Sr 0.641 0.625 0.516
Sr 0.875 0.359 0.984
Tl 0.250 0.750 0.500
Tl 0.500 0.500 0.000
Sb 0.000 0.000 0.000
Sb 0.750 0.250 0.500
! calculated total energy: -23.1 eV/cell
! formation energy without anion corrections: -0.425 eV per atom
! polymorph energy (0 for the lowest one): 0.2566 eV per atom

> Which of these has the lowest calculated total energy?

Y2Ga2SnRh5

> What is the formula in the third record?

CdAg2Au